Computed, not measured: crystalline AgMoAsN2 at its relaxed geometry at the GGA-PBE level of DFT.

```
AgMoAsN2
1.0
3.9042 0.0000 0.0000
0.0000 5.0688 0.0000
0.0000 0.0000 3.9042
Mo As Ag N
1 1 1 2
Direct
0.0000 0.5000 0.0000
0.0000 0.0000 0.0000
0.5000 0.5000 0.5000
0.0000 0.0000 0.5000
0.5000 0.0000 0.0000
```

Output
E_tot = -5.123 eV per atom
SG = P4/mmm, No. 123
Raw formation energy = 1.874 eV/atom
N(E_F) = 0.84 states/eV/atom